5
Lattice="-0.681 -3.123 2.076 1.989 -2.090 -2.491 3.181 3.377 2.623" Properties=species:S:1:pos:R:3 comment="ZrCr2Fe2 | Alexandria | meta-GGA SCAN | single point on PBEsol structure" magnetic_moment_mub_per_cell=0.001 mass_density_g_cm3=7.630 formation_energy_ev_per_atom=0.12 pbc="T T T"
Zr 0.000 0.000 0.000
Fe 2.884 0.579 1.817
Fe 1.605 -2.415 0.392
Cr 2.912 -0.660 -0.037
Cr 1.577 -1.176 2.246



4
Lattice="-1.706 0.677 2.179 -3.451 0.364 -2.814 -0.974 -4.445 0.619" Properties=species:S:1:pos:R:3 comment="Tc2IrSe | Alexandria | meta-GGA SCAN | single point on PBEsol structure" raw_formation_energy_ev_per_atom=0.533 magnetic_moment_mub_per_cell=0.000 mass_density_g_cm3=13.268 pbc="T T T"
Ir -1.340 -1.884 1.399
Tc -2.579 0.521 -0.318
Tc 0.000 0.000 0.000
Se -2.213 -2.041 -1.098



5
Lattice="-0.280 -1.271 -5.308 5.278 -1.418 0.061 -1.392 -5.123 1.300" Properties=species:S:1:pos:R:3 comment="ScTe3H | Alexandria | meta-GGA SCAN | single point on PBEsol structure" magnetic_moment_mub_per_cell=2.837 mass_density_g_cm3=4.362 e_tot_ev_per_atom=-25.6610 pbc="T T T"
Te -0.696 -2.561 0.650
Te -0.140 -0.635 -2.654
Te 2.639 -0.709 0.031
H 1.803 -3.906 -1.974
Sc 0.000 0.000 0.000



5
Lattice="4.031 0.000 0.000 0.000 4.837 0.000 0.000 0.000 4.837" Properties=species:S:1:pos:R:3 comment="GaCuBi2H | Alexandria | meta-GGA SCAN | single point on PBEsol structure" magnetic_moment_mub_per_cell=0.000 mass_density_g_cm3=9.722 e_tot_ev_per_atom=-37.8225 pbc="T T T"
Bi 0.000 2.419 0.000
Bi 0.000 0.000 2.419
H 0.000 0.000 0.000
Ga 2.015 0.000 0.000
Cu 2.015 2.419 2.419